No. 1
TaAsI2 | GGA-PBEsol | optimized geometry

The structure in POSCAR format:
```
TaAsI2
1.0
6.997 0.000 0.000
0.000 6.997 0.000
0.000 0.000 6.997
Ta As I
4 4 8
direct
0.000 0.000 0.000
0.000 0.500 0.500
0.500 0.000 0.500
0.500 0.500 0.000
0.000 0.000 0.500
0.000 0.500 0.000
0.500 0.000 0.000
0.500 0.500 0.500
0.250 0.250 0.250
0.250 0.250 0.750
0.250 0.750 0.250
0.250 0.750 0.750
0.750 0.250 0.250
0.750 0.250 0.750
0.750 0.750 0.250
0.750 0.750 0.750
```

The value obtained for the total energy is -4.607 eV/atom. Its size of the total moment is 0.00 μB per cell. The uncorrected formation energy is 691 meV/atom. Its density of states at the Fermi level is 9.18 states/eV per cell.

---

No. 2
Te7As5I | GGA-PBEsol | optimized geometry

The structure in POSCAR format:
```
Te7As5I
1.0
7.026 -2.000 0.000
7.026 2.000 0.000
-4.310 0.000 13.023
Te As I
7 5 1
direct
0.000 0.000 0.000
0.040 0.040 0.716
0.308 0.308 0.777
0.429 0.429 0.180
0.609 0.609 0.522
0.691 0.691 0.237
0.733 0.733 0.952
0.141 0.141 0.401
0.203 0.203 0.084
0.527 0.527 0.862
0.837 0.837 0.654
0.895 0.895 0.299
0.349 0.349 0.474
```

The value obtained for the total energy is -4.004 eV/atom. Its size of the total moment is 0.00 μB per cell. The uncorrected formation energy is -5 meV/atom. Its density of states at the Fermi level is 0.02 states/eV per cell.

---

No. 3
TiTeAsI2 | GGA-PBEsol | optimized geometry

The structure in POSCAR format:
```
TiTeAsI2
1.0
5.504 0.000 0.000
0.000 5.504 0.000
0.000 0.000 5.421
Ti Te As I
1 1 1 2
direct
0.000 0.000 0.000
0.500 0.500 0.000
0.500 0.500 0.500
0.000 0.500 0.500
0.500 0.000 0.500
```

The value obtained for the total energy is -3.488 eV/atom. Its size of the total moment is 2.36 μB per cell. The uncorrected formation energy is 609 meV/atom. Its density of states at the Fermi level is 6.74 states/eV per cell.

---

No. 4
YTe2AsI | GGA-PBEsol | optimized geometry

The structure in POSCAR format:
```
YTe2AsI
1.0
5.820 0.000 0.000
0.000 5.820 0.000
0.000 0.000 5.717
Y Te As I
1 2 1 1
direct
0.000 0.000 0.000
0.000 0.500 0.000
0.500 0.000 0.000
0.500 0.500 0.500
0.000 0.000 0.500
```

The value obtained for the total energy is -4.040 eV/atom. Its size of the total moment is 1.32 μB per cell. The uncorrected formation energy is 109 meV/atom. Its density of states at the Fermi level is 3.54 states/eV per cell.

---

No. 5
Ti2AsI | GGA-PBEsol | optimized geometry

The structure in POSCAR format:
```
Ti2AsI
1.0
6.549 0.000 0.000
0.000 6.549 0.000
0.000 0.000 6.549
Ti As I
8 4 4
direct
0.250 0.250 0.250
0.250 0.250 0.750
0.250 0.750 0.250
0.250 0.750 0.750
0.750 0.250 0.250
0.750 0.250 0.750
0.750 0.750 0.250
0.750 0.750 0.750
0.000 0.000 0.000
0.000 0.500 0.500
0.500 0.000 0.500
0.500 0.500 0.000
0.000 0.000 0.500
0.000 0.500 0.000
0.500 0.000 0.000
0.500 0.500 0.500
```

The value obtained for the total energy is -6.209 eV/atom. Its size of the total moment is 0.00 μB per cell. The uncorrected formation energy is -329 meV/atom. Its density of states at the Fermi level is 5.83 states/eV per cell.

---

No. 6
Ti2AsI | GGA-PBEsol | optimized geometry

The structure in POSCAR format:
```
Ti2AsI
1.0
5.279 0.000 0.000
0.000 5.279 0.000
0.000 0.000 14.744
Ti As I
8 4 4
direct
0.192 0.250 0.125
0.250 0.692 0.375
0.250 0.808 0.875
0.308 0.250 0.625
0.692 0.750 0.625
0.750 0.192 0.875
0.750 0.308 0.375
0.808 0.750 0.125
0.000 0.000 0.000
0.000 0.500 0.250
0.500 0.000 0.750
0.500 0.500 0.500
0.000 0.000 0.500
0.000 0.500 0.750
0.500 0.000 0.250
0.500 0.500 0.000
```

The value obtained for the total energy is -5.831 eV/atom. Its size of the total moment is 14.73 μB per cell. The uncorrected formation energy is 49 meV/atom. Its density of states at the Fermi level is 15.94 states/eV per cell.

---

No. 7
Tl3AsI | GGA-PBEsol | optimized geometry

The structure in POSCAR format:
```
Tl3AsI
1.0
6.182 0.000 0.000
0.000 6.182 0.000
0.000 0.000 6.182
Tl As I
3 1 1
direct
0.000 0.000 0.500
0.000 0.500 0.000
0.500 0.000 0.000
0.500 0.500 0.500
0.000 0.000 0.000
```

The value obtained for the distance to the lowest polymorph of the same formula is 617 meV/atom. The value obtained for the total energy is -2.294 eV/atom. Its size of the total moment is 1.02 μB per cell. The uncorrected formation energy is 659 meV/atom. Its density of states at the Fermi level is 3.88 states/eV per cell.

---

No. 8
Tl2AsI | GGA-PBEsol | optimized geometry

The structure in POSCAR format:
```
Tl2AsI
1.0
7.661 0.000 0.000
0.000 7.661 0.000
0.000 0.000 7.661
Tl As I
8 4 4
direct
0.250 0.250 0.250
0.250 0.250 0.750
0.250 0.750 0.250
0.250 0.750 0.750
0.750 0.250 0.250
0.750 0.250 0.750
0.750 0.750 0.250
0.750 0.750 0.750
0.000 0.000 0.000
0.000 0.500 0.500
0.500 0.000 0.500
0.500 0.500 0.000
0.000 0.000 0.500
0.000 0.500 0.000
0.500 0.000 0.000
0.500 0.500 0.500
```

The value obtained for the total energy is -2.934 eV/atom. Its size of the total moment is 0.00 μB per cell. The uncorrected formation energy is 99 meV/atom. Its density of states at the Fermi level is 9.01 states/eV per cell.